A relaxed CsKTlBr3 crystal. Source: the Alexandria database, functional PBE.

a b c (Å): 5.0261 9.5072 11.8353
angles (deg): 107.30 90.00 90.00
Last column: nearest neighbours and their distance in Å.
Fractional coordinates of all 12 atoms:
Br: 0.2500 0.8181 0.5410  3 K 3.20-3.31
Br: 0.7500 0.4707 0.1815  1 Tl 3.10, 1 K 3.40
Br: 0.7500 0.8902 0.1099  2 Tl 3.24, 1 K 3.39
Br: 0.7500 0.1819 0.4590  3 K 3.20-3.31
Br: 0.2500 0.5293 0.8185  1 Tl 3.10, 1 K 3.40
Br: 0.2500 0.1098 0.8901  2 Tl 3.24, 1 K 3.39
Tl: 0.2500 0.6691 0.0909  3 Br 3.10-3.24
Tl: 0.7500 0.3309 0.9091  3 Br 3.10-3.24
K: 0.7500 0.8176 0.3733  5 Br 3.20-3.40
K: 0.2500 0.1824 0.6267  5 Br 3.20-3.40
Cs: 0.7500 0.7983 0.7731  7 Br 3.74-3.82
Cs: 0.2500 0.2017 0.2269  7 Br 3.74-3.82

## Properties
For the density of states at the Fermi level, the calculation gives 0.00 states/eV per cell. As for the raw total energy: -35.68 eV per cell. The space-group type is P2_1/m, No. 11.